Model i:
Compound: GeH2Os2
Source: the Alexandria database
Functional: PBE-GGA
Structure: optimized geometry

Results
Spin magnetization, μB/f.u.: 0.00
Crystal system: tetragonal

a = 5.6430 Å, b = 5.6430 Å, c = 3.1663 Å
α = 90.00°, β = 90.00°, γ = 90.00°
Fractional positions:
Ge: 0.0000 0.0000 0.0000
Ge: 0.5000 0.5000 0.0000
H: 0.0872 0.4128 0.0000
H: 0.4128 0.9128 0.0000
H: 0.5872 0.0872 0.0000
H: 0.9128 0.5872 0.0000
Os: 0.1801 0.3199 0.5000
Os: 0.3199 0.8199 0.5000
Os: 0.6801 0.1801 0.5000
Os: 0.8199 0.6801 0.5000

=====

Model ii:
Compound: GeH2Os2
Source: the Alexandria database
Functional: PBE-GGA
Structure: optimized geometry

Results
Spin magnetization, μB/f.u.: 0.00
Crystal system: tetragonal

a = 4.2943 Å, b = 4.2943 Å, c = 4.2943 Å
α = 124.20°, β = 124.20°, γ = 82.86°
Fractional positions:
Ge: 0.0000 0.0000 0.0000
H: 0.3288 0.3288 0.0000
H: 0.6712 0.6712 0.0000
Os: 0.2500 0.7500 0.5000
Os: 0.7500 0.2500 0.5000

=====

Going by the energies, model i is most stable and the next is 22.1 kJ/mol of atoms up.

=====

Model i:
Compound: Ge2PH
Source: the Alexandria database
Functional: PBE-GGA
Structure: optimized geometry

Results
Spin magnetization, μB/f.u.: 0.00
Crystal system: tetragonal

a = 6.1984 Å, b = 6.1984 Å, c = 6.1984 Å
α = 129.59°, β = 129.59°, γ = 74.06°
Fractional positions:
Ge: 0.0621 0.6250 0.9371
Ge: 0.3750 0.3121 0.4371
Ge: 0.6879 0.1250 0.0629
Ge: 0.8750 0.9379 0.5629
P: 0.2500 0.7500 0.5000
P: 0.5000 0.5000 0.0000
H: 0.0000 0.0000 0.0000
H: 0.7500 0.2500 0.5000

=====

Model ii:
Compound: Ge2PH
Source: the Alexandria database
Functional: PBE-GGA
Structure: optimized geometry

Results
Spin magnetization, μB/f.u.: 0.00
Crystal system: cubic

a = 4.3573 Å, b = 4.3573 Å, c = 4.3573 Å
α = 60.00°, β = 60.00°, γ = 60.00°
Fractional positions:
Ge: 0.2500 0.2500 0.2500
Ge: 0.7500 0.7500 0.7500
P: 0.0000 0.0000 0.0000
H: 0.5000 0.5000 0.5000

=====

Model iii:
Compound: Ge2PH
Source: the Alexandria database
Functional: PBE-GGA
Structure: optimized geometry

Results
Spin magnetization, μB/f.u.: 0.00
Crystal system: triclinic

a = 4.7155 Å, b = 5.2366 Å, c = 6.5392 Å
α = 97.38°, β = 100.57°, γ = 99.52°
Fractional positions:
Ge: 0.0000 0.0000 0.0000
Ge: 0.0066 0.3851 0.5961
Ge: 0.5295 0.6413 0.1692
Ge: 0.5404 0.0522 0.5551
P: 0.2532 0.2978 0.3205
P: 0.3671 0.2763 0.8563
H: 0.0081 0.6867 0.6366
H: 0.2132 0.7639 0.0679

=====

Going by the energies, model iii is most stable and the next is 17.1 kJ/mol of atoms up.

=====

Model i:
Compound: GePH2
Source: the Alexandria database
Functional: PBE-GGA
Structure: optimized geometry

Results
Spin magnetization, μB/f.u.: 0.00
Crystal system: monoclinic

a = 6.2930 Å, b = 5.3657 Å, c = 8.2620 Å
α = 90.00°, β = 110.76°, γ = 90.00°
Fractional positions:
Ge: 0.1963 0.2070 0.2792
Ge: 0.1963 0.2930 0.7792
Ge: 0.8037 0.7070 0.2208
Ge: 0.8037 0.7930 0.7208
P: 0.1106 0.6079 0.9443
P: 0.1106 0.8921 0.4443
P: 0.8894 0.1079 0.5557
P: 0.8894 0.3921 0.0557
H: 0.3394 0.0921 0.9041
H: 0.3394 0.4079 0.4041
H: 0.3432 0.0772 0.1895
H: 0.3432 0.4228 0.6895
H: 0.6568 0.5772 0.3105
H: 0.6568 0.9228 0.8105
H: 0.6606 0.5921 0.5959
H: 0.6606 0.9079 0.0959

=====

Model ii:
Compound: GePH2
Source: the Alexandria database
Functional: PBE-GGA
Structure: optimized geometry

Results
Spin magnetization, μB/f.u.: 0.00
Crystal system: cubic

a = 3.8098 Å, b = 3.8098 Å, c = 3.8098 Å
α = 60.00°, β = 60.00°, γ = 60.00°
Fractional positions:
Ge: 0.0000 0.0000 0.0000
P: 0.5000 0.5000 0.5000
H: 0.2500 0.2500 0.2500
H: 0.7500 0.7500 0.7500

=====

Model iii:
Compound: GePH2
Source: the Alexandria database
Functional: PBE-GGA
Structure: optimized geometry

Results
Spin magnetization, μB/f.u.: 0.00
Crystal system: tetragonal

a = 6.3763 Å, b = 6.3763 Å, c = 6.3763 Å
α = 144.28°, β = 144.28°, γ = 51.41°
Fractional positions:
Ge: 0.0000 0.0000 0.0000
Ge: 0.7500 0.2500 0.5000
P: 0.2500 0.7500 0.5000
P: 0.5000 0.5000 0.0000
H: 0.3201 0.6250 0.1951
H: 0.3750 0.5701 0.6951
H: 0.4299 0.1250 0.8049
H: 0.8750 0.6799 0.3049

=====

Going by the energies, model i is most stable and the next is 49.2 kJ/mol of atoms up.